No. 1
A geometry-optimized TbGdScZn structure. Source: the Alexandria database, functional PBE.

Results
crystal system: cubic
DFT total energy: -6.593 eV per atom
DFT formation energy: -0.01 eV/atom

a b c (Å): 7.4032 7.4032 7.4032
angles (deg): 90.00 90.00 90.00
Space group F-43m (No. 216)
Asymmetric unit:
Tb: 0.0000 0.0000 0.0000 (multiplicity 4)
Gd: 0.0000 0.0000 0.5000 (multiplicity 4)
Sc: 0.2500 0.2500 0.2500 (multiplicity 4)
Zn: 0.2500 0.2500 0.7500 (multiplicity 4)

No. 2
A geometry-optimized HfCrS2N structure. Source: the Alexandria database, functional PBE.

Results
crystal system: tetragonal
DFT total energy: -7.495 eV per atom
formation energy (no corrections): -0.264 eV per atom

a b c (Å): 4.6566 4.6566 3.5189
angles (deg): 90.00 90.00 90.00
Space group P4/mmm (No. 123)
Asymmetric unit:
Hf: 0.0000 0.0000 0.0000 (multiplicity 1)
Cr: 0.5000 0.5000 0.5000 (multiplicity 1)
S: 0.0000 0.5000 0.5000 (multiplicity 2)
N: 0.5000 0.5000 0.0000 (multiplicity 1)

No. 3
A geometry-optimized Er3Zr2Bi3 structure. Source: the Alexandria database, functional PBE.

Results
crystal system: hexagonal
DFT total energy: -5.882 eV per atom
DFT formation energy: -0.58 eV/atom

a b c (Å): 8.9488 8.9488 6.0891
angles (deg): 90.00 90.00 120.00
Space group P6_3/mcm (No. 193)
Asymmetric unit:
Er: 0.0000 0.2485 0.2500 (multiplicity 6)
Zr: 0.3333 0.6667 0.0000 (multiplicity 4)
Bi: 0.0000 0.3923 0.7500 (multiplicity 6)

No. 4
A geometry-optimized CsSrBe2Cl structure. Source: the Alexandria database, functional PBE.

Results
crystal system: tetragonal
DFT total energy: -1.755 eV per atom
formation energy (no corrections): 0.612 eV per atom

a b c (Å): 6.2264 6.2264 5.3817
angles (deg): 90.00 90.00 90.00
Space group P4/mmm (No. 123)
Asymmetric unit:
Cs: 0.0000 0.0000 0.0000 (multiplicity 1)
Sr: 0.5000 0.5000 0.0000 (multiplicity 1)
Be: 0.0000 0.5000 0.5000 (multiplicity 2)
Cl: 0.5000 0.5000 0.5000 (multiplicity 1)